[1]
Density functional theory data (PBE-GGA) for a geometry-optimized HfSc2Cd3 structure.

ΔH_f (0 K), eV/atom: -0.159

CIF file:
```
data_HfSc2Cd3
_symmetry_space_group_name_H-M 'P 4/m m m'
_symmetry_Int_Tables_number 123
_symmetry_space_group_name_Hall '-P 4 2'
_cell_length_a 3.522
_cell_length_b 3.522
_cell_length_c 10.536
_cell_angle_alpha 90.00
_cell_angle_beta 90.00
_cell_angle_gamma 90.00
loop_
_atom_site_label
_atom_site_fract_x
_atom_site_fract_y
_atom_site_fract_z
Hf1 0.000 0.000 0.000
Sc1 0.000 0.000 0.332
Cd1 0.500 0.500 0.166
Cd2 0.500 0.500 0.500
```

---

[2]
Density functional theory data (PBE-GGA) for a geometry-optimized NbSiI2N structure.

Raw formation energy, kJ/mol of formula units: 243

CIF file:
```
data_NbSiI2N
_symmetry_space_group_name_H-M 'P 4/m m m'
_symmetry_Int_Tables_number 123
_symmetry_space_group_name_Hall '-P 4 2'
_cell_length_a 5.692
_cell_length_b 5.692
_cell_length_c 3.921
_cell_angle_alpha 90.00
_cell_angle_beta 90.00
_cell_angle_gamma 90.00
loop_
_atom_site_label
_atom_site_fract_x
_atom_site_fract_y
_atom_site_fract_z
Nb1 0.000 0.000 0.000
Si1 0.500 0.500 0.500
I1 0.000 0.500 0.000
N1 0.000 0.000 0.500
```

---

[3]
Density functional theory data (PBE-GGA) for a geometry-optimized CuTeSCl2 structure.

Raw formation energy, kJ/mol of formula units: 188

CIF file:
```
data_CuTeSCl2
_symmetry_space_group_name_H-M 'P 4/m m m'
_symmetry_Int_Tables_number 123
_symmetry_space_group_name_Hall '-P 4 2'
_cell_length_a 5.220
_cell_length_b 5.220
_cell_length_c 5.245
_cell_angle_alpha 90.00
_cell_angle_beta 90.00
_cell_angle_gamma 90.00
loop_
_atom_site_label
_atom_site_fract_x
_atom_site_fract_y
_atom_site_fract_z
Cu1 0.000 0.000 0.000
Te1 0.500 0.500 0.500
S1 0.500 0.500 0.000
Cl1 0.000 0.500 0.500
```

---

[4]
Density functional theory data (PBE-GGA) for a geometry-optimized BaInRu structure.

ΔH_f (0 K), eV/atom: 1.234

CIF file:
```
data_BaInRu
_symmetry_space_group_name_H-M 'F -4 3 m'
_symmetry_Int_Tables_number 216
_symmetry_space_group_name_Hall 'F -4 2 3'
_cell_length_a 7.419
_cell_length_b 7.419
_cell_length_c 7.419
_cell_angle_alpha 90.00
_cell_angle_beta 90.00
_cell_angle_gamma 90.00
loop_
_atom_site_label
_atom_site_fract_x
_atom_site_fract_y
_atom_site_fract_z
Ba1 0.000 0.000 0.000
In1 0.250 0.250 0.250
Ru1 0.250 0.250 0.750
```

---

[5]
Density functional theory data (PBE-GGA) for a geometry-optimized TaAl2Au2 structure.

ΔH_f (0 K), eV/atom: -0.124

CIF file:
```
data_TaAl2Au2
_symmetry_space_group_name_H-M 'P 4/m b m'
_symmetry_Int_Tables_number 127
_symmetry_space_group_name_Hall '-P 4 2ab'
_cell_length_a 7.547
_cell_length_b 7.547
_cell_length_c 2.993
_cell_angle_alpha 90.00
_cell_angle_beta 90.00
_cell_angle_gamma 90.00
loop_
_atom_site_label
_atom_site_fract_x
_atom_site_fract_y
_atom_site_fract_z
Ta1 0.000 0.000 0.000
Al1 0.171 0.329 0.500
Au1 0.132 0.632 0.000
```

---

[6]
Density functional theory data (PBE-GGA) for a geometry-optimized Y3HoAg structure.

ΔH_f (0 K), eV/atom: 0.038

CIF file:
```
data_Y3HoAg
_symmetry_space_group_name_H-M 'C 1 2/m 1'
_symmetry_Int_Tables_number 12
_cell_length_a 11.449
_cell_length_b 8.497
_cell_length_c 7.811
_cell_angle_alpha 90.00
_cell_angle_beta 123.53
_cell_angle_gamma 90.00
loop_
_symmetry_equiv_pos_as_xyz
'x,y,z'
'-x,-y,-z'
'-x,y,-z'
'x,-y,z'
'x+1/2,y+1/2,z'
'-x+1/2,-y+1/2,-z'
'-x+1/2,y+1/2,-z'
'x+1/2,-y+1/2,z'
loop_
_atom_site_label
_atom_site_fract_x
_atom_site_fract_y
_atom_site_fract_z
Y1 0.049 0.000 0.314
Y2 0.186 0.297 0.705
Ho1 0.080 0.500 0.274
Ag1 0.230 0.500 0.062
```

---

[7]
Density functional theory data (PBE-GGA) for a geometry-optimized Sr2CaTl structure.

ΔH_f (0 K), eV/atom: -0.142

CIF file:
```
data_Sr2CaTl
_symmetry_space_group_name_H-M 'P 1 m 1'
_symmetry_Int_Tables_number 6
_cell_length_a 4.196
_cell_length_b 5.548
_cell_length_c 7.460
_cell_angle_alpha 90.00
_cell_angle_beta 106.30
_cell_angle_gamma 90.00
loop_
_symmetry_equiv_pos_as_xyz
'x,y,z'
'x,-y,z'
loop_
_atom_site_label
_atom_site_fract_x
_atom_site_fract_y
_atom_site_fract_z
Sr1 0.000 0.000 0.000
Sr2 0.336 0.500 0.672
Ca1 0.716 0.000 0.434
Tl1 0.590 0.500 0.182
```

---

[8]
Density functional theory data (PBE-GGA) for a geometry-optimized CsNaPaCl6 structure.

Raw formation energy, kJ/mol of formula units: -1703

CIF file:
```
data_CsNaPaCl6
_symmetry_space_group_name_H-M 'P -3 1 c'
_symmetry_Int_Tables_number 163
_symmetry_space_group_name_Hall '-P 3 2c'
_cell_length_a 7.2783
_cell_length_b 7.2783
_cell_length_c 15.2678
_cell_angle_alpha 90.00
_cell_angle_beta 90.00
_cell_angle_gamma 120.00
loop_
_atom_site_label
_atom_site_fract_x
_atom_site_fract_y
_atom_site_fract_z
Cs1 0.0000 0.0000 0.0000
Na1 0.3333 0.6667 0.2500
Pa1 0.3333 0.6667 0.7500
Cl1 0.0211 0.3821 0.6497
```

---

[9]
Density functional theory data (PBE-GGA) for a geometry-optimized CoAg4Br structure.

Raw formation energy, kJ/mol of formula units: 338

CIF file:
```
data_CoAg4Br
_symmetry_space_group_name_H-M 'F -4 3 m'
_symmetry_Int_Tables_number 216
_symmetry_space_group_name_Hall 'F -4 2 3'
_cell_length_a 7.847
_cell_length_b 7.847
_cell_length_c 7.847
_cell_angle_alpha 90.00
_cell_angle_beta 90.00
_cell_angle_gamma 90.00
loop_
_atom_site_label
_atom_site_fract_x
_atom_site_fract_y
_atom_site_fract_z
Co1 0.000 0.000 0.000
Ag1 0.126 0.126 0.626
Br1 0.250 0.250 0.250
```

---

[10]
Density functional theory data (PBE-GGA) for a geometry-optimized TbY2MgC structure.

ΔH_f (0 K), eV/atom: -0.196

CIF file:
```
data_TbY2MgC
_symmetry_space_group_name_H-M 'P 4/m m m'
_symmetry_Int_Tables_number 123
_symmetry_space_group_name_Hall '-P 4 2'
_cell_length_a 4.981
_cell_length_b 4.981
_cell_length_c 5.029
_cell_angle_alpha 90.00
_cell_angle_beta 90.00
_cell_angle_gamma 90.00
loop_
_atom_site_label
_atom_site_fract_x
_atom_site_fract_y
_atom_site_fract_z
Tb1 0.000 0.000 0.000
Y1 0.000 0.500 0.500
Mg1 0.500 0.500 0.000
C1 0.000 0.000 0.500
```

---

[11]
Density functional theory data (PBE-GGA) for a geometry-optimized BaSi3 structure.

Raw formation energy, kJ/mol of formula units: 232

CIF file:
```
data_BaSi3
_symmetry_space_group_name_H-M 'C m m m'
_symmetry_Int_Tables_number 65
_symmetry_space_group_name_Hall '-C 2 2'
_cell_length_a 6.212
_cell_length_b 9.269
_cell_length_c 3.266
_cell_angle_alpha 90.00
_cell_angle_beta 90.00
_cell_angle_gamma 90.00
loop_
_atom_site_label
_atom_site_fract_x
_atom_site_fract_y
_atom_site_fract_z
Ba1 0.000 0.000 0.000
Si1 0.000 0.500 0.000
Si2 0.250 0.250 0.500
```

---

[12]
Density functional theory data (PBE-GGA) for a geometry-optimized Pm6BiAs2Se3 structure.

Raw formation energy, kJ/mol of formula units: -1854

CIF file:
```
data_Pm6BiAs2Se3
_symmetry_space_group_name_H-M 'C 1 2/m 1'
_symmetry_Int_Tables_number 12
_cell_length_a 18.651
_cell_length_b 4.276
_cell_length_c 8.583
_cell_angle_alpha 90.00
_cell_angle_beta 102.95
_cell_angle_gamma 90.00
loop_
_symmetry_equiv_pos_as_xyz
'x,y,z'
'-x,-y,-z'
'-x,y,-z'
'x,-y,z'
'x+1/2,y+1/2,z'
'-x+1/2,-y+1/2,-z'
'-x+1/2,y+1/2,-z'
'x+1/2,-y+1/2,z'
loop_
_atom_site_label
_atom_site_fract_x
_atom_site_fract_y
_atom_site_fract_z
Pm1 0.005 0.000 0.267
Pm2 0.170 0.500 0.578
Pm3 0.173 0.500 0.098
Bi1 0.000 0.500 0.000
As1 0.168 0.000 0.335
Se1 0.000 0.500 0.500
Se2 0.164 0.000 0.833
```

---

| no. | DOS at the Fermi energy (states/eV per cell) |
| --- | --- |
| 1 | 6.2 |
| 2 | 4.0 |
| 3 | 1.1 |
| 4 | 35.3 |
| 5 | 4.0 |
| 6 | 32.4 |
| 7 | 6.1 |
| 8 | 0.3 |
| 9 | 33.5 |
| 10 | 6.0 |
| 11 | 3.2 |
| 12 | 9.4 |